# 1
An optimized crystal structure of Sc3Ga3Co2Ru, computed with PBE-GGA.

```
data_Sc3Ga3Co2Ru
_chemical_formula_sum 'Sc3 Ga3 Co2 Ru1'
_space_group_name_H-M_alt 'P -6 2 m'
_space_group_IT_number 189
_space_group_name_Hall 'P -6 -2'
_cell_length_a 7.0930
_cell_length_b 7.0930
_cell_length_c 3.2899
_cell_angle_alpha 90.00
_cell_angle_beta 90.00
_cell_angle_gamma 120.00
loop_
_atom_site_label
_atom_site_type_symbol
_atom_site_fract_x
_atom_site_fract_y
_atom_site_fract_z
Sc1 Sc 0.0000 0.3938 0.0000
Ga1 Ga 0.0000 0.7163 0.5000
Co1 Co 0.3333 0.6667 0.5000
Ru1 Ru 0.0000 0.0000 0.0000
```

Computed properties:
magnetization	0.0	μB/cell
calculated formation energy	-0.5247	eV/atom

=====

# 2
An optimized crystal structure of Ba2ErCu2Se4, computed with PBE-GGA.

```
data_Ba2ErCu2Se4
_chemical_formula_sum 'Ba4 Er2 Cu4 Se8'
_space_group_name_H-M_alt 'C 1 2/m 1'
_space_group_IT_number 12
_cell_length_a 15.3561
_cell_length_b 4.1375
_cell_length_c 7.6242
_cell_angle_alpha 90.00
_cell_angle_beta 110.44
_cell_angle_gamma 90.00
loop_
_space_group_symop_operation_xyz
'x,y,z'
'-x,-y,-z'
'-x,y,-z'
'x,-y,z'
'x+1/2,y+1/2,z'
'-x+1/2,-y+1/2,-z'
'-x+1/2,y+1/2,-z'
'x+1/2,-y+1/2,z'
loop_
_atom_site_label
_atom_site_type_symbol
_atom_site_fract_x
_atom_site_fract_y
_atom_site_fract_z
Ba1 Ba 0.1354 0.0000 0.0705
Er1 Er 0.0000 0.0000 0.5000
Cu1 Cu 0.1827 0.5000 0.4886
Se1 Se 0.0194 0.5000 0.2553
Se2 Se 0.1987 0.0000 0.6862
```

Computed properties:
magnetization	0.0	μB/cell
energy relative to the elements, uncorrected	-1.281	eV/atom

=====

# 3
An optimized crystal structure of Mg2TcPdW, computed with PBE-GGA.

```
data_Mg2TcPdW
_chemical_formula_sum 'Mg2 Tc1 Pd1 W1'
_space_group_name_H-M_alt 'P 4/m m m'
_space_group_IT_number 123
_space_group_name_Hall '-P 4 2'
_cell_length_a 4.9234
_cell_length_b 4.9234
_cell_length_c 4.5806
_cell_angle_alpha 90.00
_cell_angle_beta 90.00
_cell_angle_gamma 90.00
loop_
_atom_site_label
_atom_site_type_symbol
_atom_site_fract_x
_atom_site_fract_y
_atom_site_fract_z
Mg1 Mg 0.0000 0.5000 0.0000
Tc1 Tc 0.0000 0.0000 0.0000
Pd1 Pd 0.5000 0.5000 0.5000
W1 W 0.0000 0.0000 0.5000
```

Computed properties:
magnetization	0.8	μB/cell
calculated formation energy	1.1238	eV/atom

=====

# 4
An optimized crystal structure of Pu3MnGe6Pd2, computed with PBE-GGA.

```
data_Pu3MnGe6Pd2
_chemical_formula_sum 'Pu3 Mn1 Ge6 Pd2'
_space_group_name_H-M_alt 'P -3 m 1'
_space_group_IT_number 164
_space_group_name_Hall '-P 3 2"'
_cell_length_a 5.9187
_cell_length_b 5.9187
_cell_length_c 7.8054
_cell_angle_alpha 90.00
_cell_angle_beta 90.00
_cell_angle_gamma 120.00
loop_
_atom_site_label
_atom_site_type_symbol
_atom_site_fract_x
_atom_site_fract_y
_atom_site_fract_z
Pu1 Pu 0.0000 0.0000 0.0000
Pu2 Pu 0.3333 0.6667 0.6404
Mn1 Mn 0.0000 0.0000 0.5000
Ge1 Ge 0.1847 0.3694 0.2996
Pd1 Pd 0.3333 0.6667 0.0313
```

Computed properties:
magnetization	18.6	μB/cell
calculated formation energy	-0.2572	eV/atom

=====

# 5
An optimized crystal structure of CoRePb, computed with PBE-GGA.

```
data_CoRePb
_chemical_formula_sum 'Co2 Re2 Pb2'
_space_group_name_H-M_alt 'P m m n'
_space_group_IT_number 59
_cell_length_a 3.2108
_cell_length_b 4.0868
_cell_length_c 8.1284
_cell_angle_alpha 90.00
_cell_angle_beta 90.00
_cell_angle_gamma 90.00
loop_
_space_group_symop_operation_xyz
'x,y,z'
'-x,-y,-z'
'-x+1/2,-y+1/2,z'
'x+1/2,y+1/2,-z'
'x+1/2,-y,-z'
'-x+1/2,y,z'
'-x,y+1/2,-z'
'x,-y+1/2,z'
loop_
_atom_site_label
_atom_site_type_symbol
_atom_site_fract_x
_atom_site_fract_y
_atom_site_fract_z
Co1 Co 0.2500 0.2500 0.2269
Re1 Re 0.2500 0.7500 0.0090
Pb1 Pb 0.2500 0.2500 0.6518
```

Computed properties:
distance to the lowest polymorph of the same formula	77	meV/atom
magnetization	0.0	μB/cell
calculated formation energy	0.3883	eV/atom

=====

# 6
An optimized crystal structure of Li2DyHgPd2, computed with PBE-GGA.

```
data_Li2DyHgPd2
_chemical_formula_sum 'Li2 Dy1 Hg1 Pd2'
_space_group_name_H-M_alt 'P -3 m 1'
_space_group_IT_number 164
_space_group_name_Hall '-P 3 2"'
_cell_length_a 4.4450
_cell_length_b 4.4450
_cell_length_c 6.3543
_cell_angle_alpha 90.00
_cell_angle_beta 90.00
_cell_angle_gamma 120.00
loop_
_atom_site_label
_atom_site_type_symbol
_atom_site_fract_x
_atom_site_fract_y
_atom_site_fract_z
Li1 Li 0.3333 0.6667 0.1582
Dy1 Dy 0.0000 0.0000 0.5000
Hg1 Hg 0.0000 0.0000 0.0000
Pd1 Pd 0.3333 0.6667 0.7228
```

Computed properties:
magnetization	0.0	μB/cell
calculated formation energy	-0.5389	eV/atom

=====

# 7
An optimized crystal structure of CrGa2ReRh, computed with PBE-GGA.

```
data_CrGa2ReRh
_chemical_formula_sum 'Cr1 Ga2 Re1 Rh1'
_space_group_name_H-M_alt 'P 4/m m m'
_space_group_IT_number 123
_space_group_name_Hall '-P 4 2'
_cell_length_a 4.5206
_cell_length_b 4.5206
_cell_length_c 4.4027
_cell_angle_alpha 90.00
_cell_angle_beta 90.00
_cell_angle_gamma 90.00
loop_
_atom_site_label
_atom_site_type_symbol
_atom_site_fract_x
_atom_site_fract_y
_atom_site_fract_z
Cr1 Cr 0.0000 0.0000 0.0000
Ga1 Ga 0.0000 0.5000 0.0000
Re1 Re 0.0000 0.0000 0.5000
Rh1 Rh 0.5000 0.5000 0.5000
```

Computed properties:
magnetization	2.1	μB/cell
calculated formation energy	1.0377	eV/atom

=====

# 8
An optimized crystal structure of LaYErTh2, computed with PBE-GGA.

```
data_LaYErTh2
_chemical_formula_sum 'La4 Y4 Er4 Th8'
_space_group_name_H-M_alt 'C m c m'
_space_group_IT_number 63
_space_group_name_Hall '-C 2c 2'
_cell_length_a 6.7229
_cell_length_b 15.7603
_cell_length_c 6.7240
_cell_angle_alpha 90.00
_cell_angle_beta 90.00
_cell_angle_gamma 90.00
loop_
_atom_site_label
_atom_site_type_symbol
_atom_site_fract_x
_atom_site_fract_y
_atom_site_fract_z
La1 La 0.0000 0.2504 0.2500
Y1 Y 0.0000 0.1510 0.7500
Er1 Er 0.0000 0.3504 0.7500
Th1 Th 0.2492 0.5000 0.0000
```

Computed properties:
magnetization	0.0	μB/cell
calculated formation energy	0.3640	eV/atom

=====

# 9
An optimized crystal structure of V4BiS8, computed with PBE-GGA.

```
data_V4BiS8
_chemical_formula_sum 'V16 Bi4 S32'
_space_group_name_H-M_alt 'F -4 3 m'
_space_group_IT_number 216
_space_group_name_Hall 'F -4 2 3'
_cell_length_a 9.9963
_cell_length_b 9.9963
_cell_length_c 9.9963
_cell_angle_alpha 90.00
_cell_angle_beta 90.00
_cell_angle_gamma 90.00
loop_
_atom_site_label
_atom_site_type_symbol
_atom_site_fract_x
_atom_site_fract_y
_atom_site_fract_z
V1 V 0.1024 0.1024 0.3976
Bi1 Bi 0.0000 0.0000 0.0000
S1 S 0.1253 0.1253 0.6253
S2 S 0.1480 0.1480 0.1480
```

Computed properties:
magnetization	7.6	μB/cell
energy relative to the elements, uncorrected	-0.733	eV/atom

=====

# 10
An optimized crystal structure of La3N2O, computed with PBE-GGA.

```
data_La3N2O
_chemical_formula_sum 'La12 N8 O4'
_space_group_name_H-M_alt 'C m c m'
_space_group_IT_number 63
_space_group_name_Hall '-C 2c 2'
_cell_length_a 9.1790
_cell_length_b 14.4045
_cell_length_c 6.1170
_cell_angle_alpha 90.00
_cell_angle_beta 90.00
_cell_angle_gamma 90.00
loop_
_atom_site_label
_atom_site_type_symbol
_atom_site_fract_x
_atom_site_fract_y
_atom_site_fract_z
La1 La 0.0000 0.0801 0.2500
La2 La 0.2304 0.1094 0.7500
N1 N 0.1674 0.0000 0.0000
O1 O 0.0000 0.1589 0.7500
```

Computed properties:
distance to the lowest polymorph of the same formula	424	meV/atom
magnetization	0.0	μB/cell
energy relative to the elements, uncorrected	-1.486	eV/atom

=====

# 11
An optimized crystal structure of Pm3IrC, computed with PBE-GGA.

```
data_Pm3IrC
_chemical_formula_sum 'Pm9 Ir3 C3'
_space_group_name_H-M_alt 'R 3 m'
_space_group_IT_number 160
_space_group_name_Hall 'R 3 -2"'
_cell_length_a 6.9680
_cell_length_b 6.9680
_cell_length_c 8.8899
_cell_angle_alpha 90.00
_cell_angle_beta 90.00
_cell_angle_gamma 120.00
loop_
_atom_site_label
_atom_site_type_symbol
_atom_site_fract_x
_atom_site_fract_y
_atom_site_fract_z
Pm1 Pm 0.0120 0.5060 0.0000
Ir1 Ir 0.0000 0.0000 0.0791
C1 C 0.0000 0.0000 0.5357
```

Computed properties:
magnetization	0.0	μB/cell
calculated formation energy	-0.0835	eV/atom

=====

# 12
An optimized crystal structure of Ba2GaAsN, computed with PBE-GGA.

```
data_Ba2GaAsN
_chemical_formula_sum 'Ba4 Ga2 As2 N2'
_space_group_name_H-M_alt 'P 1 21/m 1'
_space_group_IT_number 11
_cell_length_a 7.0906
_cell_length_b 4.2777
_cell_length_c 9.6362
_cell_angle_alpha 90.00
_cell_angle_beta 110.25
_cell_angle_gamma 90.00
loop_
_space_group_symop_operation_xyz
'x,y,z'
'-x,-y,-z'
'-x,y+1/2,-z'
'x,-y+1/2,z'
loop_
_atom_site_label
_atom_site_type_symbol
_atom_site_fract_x
_atom_site_fract_y
_atom_site_fract_z
Ba1 Ba 0.1988 0.2500 0.3801
Ba2 Ba 0.2143 0.2500 0.9710
Ga1 Ga 0.4659 0.7500 0.2546
As1 As 0.3302 0.7500 0.7025
N1 N 0.1829 0.7500 0.1655
```

Computed properties:
magnetization	0.0	μB/cell
energy relative to the elements, uncorrected	-0.718	eV/atom